Entry 1:
Computed, not measured: a relaxed KPmAs2O8 crystal at the PBE level of DFT.

Calculated values
The calculation puts the total moment at 2.05 μB per formula unit. For the total energy, the calculation gives -6.106 eV per atom.

a = 7.553 Å, b = 7.553 Å, c = 6.658 Å
α = 90.00°, β = 90.00°, γ = 90.00°
Space group I-4m2 (No. 119)
Asymmetric unit:
K1 0.000 0.000 0.000
Pm1 0.000 0.500 0.250
As1 0.000 0.000 0.500
As2 0.000 0.500 0.750
O1 0.000 0.188 0.353
O2 0.000 0.330 0.921

***

Entry 2:
Computed, not measured: a relaxed RbAg3B crystal at the PBE level of DFT.

Calculated values
Its energy above the most stable polymorph in this dataset is 0 meV/atom. The calculation puts the total moment at 0.00 μB per formula unit. For the total energy, the calculation gives -2.801 eV per atom.

a = 4.706 Å, b = 4.706 Å, c = 4.706 Å
α = 90.00°, β = 90.00°, γ = 90.00°
Space group Pm-3m (No. 221)
Asymmetric unit:
Rb1 0.000 0.000 0.000
Ag1 0.000 0.500 0.500
B1 0.500 0.500 0.500

***

Entry 3:
Computed, not measured: a relaxed GaSnH6Ru2 crystal at the PBE level of DFT.

Calculated values
The calculation puts the total moment at 0.00 μB per formula unit. For the total energy, the calculation gives -4.383 eV per atom.

a = 7.460 Å, b = 9.393 Å, c = 5.502 Å
α = 90.00°, β = 102.85°, γ = 90.00°
Space group C2/c (No. 15)
Asymmetric unit:
Ga1 0.000 0.129 0.250
Sn1 0.000 0.415 0.750
H1 0.027 0.159 0.613
H2 0.146 0.297 0.253
H3 0.237 0.062 0.555
Ru1 0.207 0.098 0.856

***

Entry 4:
Computed, not measured: a relaxed Sc2SbAs crystal at the PBE level of DFT.

Calculated values
The calculation puts the total moment at 0.00 μB per formula unit. For the total energy, the calculation gives -6.209 eV per atom.

a = 3.511 Å, b = 3.765 Å, c = 6.860 Å
α = 90.00°, β = 102.73°, γ = 90.00°
Space group P2/m (No. 10)
Asymmetric unit:
Sc1 0.222 0.000 0.266
Sb1 0.500 0.500 0.000
As1 0.000 0.500 0.500

***

Entry 5:
Computed, not measured: a relaxed TeAsBr2O crystal at the PBE level of DFT.

Calculated values
Its energy above the most stable polymorph in this dataset is 298 meV/atom. The calculation puts the total moment at 3.54 μB per formula unit. For the total energy, the calculation gives -2.403 eV per atom.

a = 5.563 Å, b = 5.563 Å, c = 5.689 Å
α = 90.00°, β = 90.00°, γ = 90.00°
Space group P4/mmm (No. 123)
Asymmetric unit:
Te1 0.000 0.000 0.000
As1 0.000 0.000 0.500
Br1 0.000 0.500 0.000
O1 0.500 0.500 0.500

***

Entry 6:
Computed, not measured: a relaxed NbI3O crystal at the PBE level of DFT.

Calculated values
The calculation puts the total moment at 0.00 μB per formula unit. For the total energy, the calculation gives -4.853 eV per atom.

a = 7.725 Å, b = 11.132 Å, c = 11.336 Å
α = 90.00°, β = 113.01°, γ = 90.00°
Space group P2/c (No. 13)
Asymmetric unit:
Nb1 0.011 0.172 0.390
I1 0.159 0.073 0.947
I2 0.181 0.369 0.088
I3 0.343 0.273 0.553
O1 0.168 0.150 0.278